one.
ThPbAu4 (PBE, optimized geometry); total moment = 0.0 μB/cell; symmetry = F-43m (216)
1.0
5.727 0.000 0.000
2.863 4.959 0.000
2.863 1.653 4.676
Au Pb Th
4 1 1
Direct
0.125 0.625 0.625
0.625 0.125 0.625
0.625 0.625 0.625
0.625 0.625 0.125
0.250 0.250 0.250
0.000 0.000 0.000

two.
ThPbAu4 (PBE, optimized geometry); total moment = 0.0 μB/cell; symmetry = Cmmm (65)
1.0
4.280 -0.400 -0.002
-0.400 4.280 -0.003
0.002 0.004 8.773
Pb Au Th
1 4 1
Direct
0.001 0.997 0.498
0.001 0.497 0.754
0.501 0.997 0.754
0.001 0.497 0.242
0.501 0.997 0.242
0.501 0.497 0.998

It is one that is most stable; the runner-up trails by 0.104 eV/atom.

one.
Ti3PbAu (PBE, optimized geometry); total moment = 5.0 μB/cell; symmetry = Pm-3m (221)
1.0
-4.029 -3.065 0.859
3.183 -3.888 1.057
0.019 1.362 4.951
Pb Ti Au
1 3 1
Direct
0.000 0.000 0.000
0.500 0.000 0.000
0.000 0.000 0.500
0.000 0.500 0.000
0.500 0.500 0.500

two.
Ti3PbAu (PBE, optimized geometry); total moment = 1.0 μB/cell; symmetry = Pm-3m (221)
1.0
-3.407 3.079 1.742
-1.768 0.612 -4.540
-3.063 -3.777 0.684
Pb Ti Au
1 3 1
Direct
0.500 0.500 0.500
0.500 0.000 0.000
0.000 0.000 0.500
0.000 0.500 0.000
0.000 0.000 0.000

It is two that is most stable; the runner-up trails by 0.723 eV/atom.

one.
TiPb3Au (PBE, optimized geometry); total moment = 0.0 μB/cell; symmetry = Pm-3m (221)
1.0
5.403 0.000 0.000
0.000 5.403 0.000
0.000 0.000 5.403
Pb Au Ti
3 1 1
Direct
0.000 0.500 0.000
0.000 0.000 0.500
0.500 0.000 0.000
0.500 0.500 0.500
0.000 0.000 0.000

two.
TiPb3Au (PBE, optimized geometry); total moment = 0.0 μB/cell; symmetry = Pm-3m (221)
1.0
5.479 0.000 0.000
0.000 5.479 0.000
0.000 0.000 5.479
Pb Au Ti
3 1 1
Direct
0.000 0.000 0.500
0.000 0.500 0.000
0.500 0.000 0.000
0.000 0.000 0.000
0.500 0.500 0.500

It is one that is most stable; the runner-up trails by 0.375 eV/atom.